No. 1
DFT (GGA-PBE) results for a geometry-optimized Zn2Cu5Au2 structure.

density = 10.8 g cm⁻³
energy relative to the lowest polymorph listed for this composition = 76 meV per atom
formation energy = 0.20 eV per formula unit
space group = Ima2, No. 46

Cell lengths 7.824, 7.824, 7.824 Å; angles 86.55, 103.99, 144.94 degrees
Atoms (fractional coordinates):
Zn: 0.039 0.125 0.164
Zn: 0.039 0.375 0.414
Zn: 0.961 0.625 0.586
Zn: 0.961 0.875 0.836
Cu: 0.119 0.684 0.935
Cu: 0.262 0.113 0.437
Cu: 0.262 0.325 0.649
Cu: 0.403 0.134 0.162
Cu: 0.403 0.742 0.770
Cu: 0.676 0.613 0.351
Cu: 0.676 0.825 0.563
Cu: 0.749 0.184 0.065
Cu: 0.972 0.242 0.838
Cu: 0.972 0.634 0.230
Au: 0.404 0.700 0.204
Au: 0.497 0.200 0.796
Au: 0.540 0.040 0.500
Au: 0.540 0.540 0.000

***

No. 2
DFT (GGA-PBE) results for a geometry-optimized Zn2CuAu6 structure.

density = 15.2 g cm⁻³
energy relative to the lowest polymorph listed for this composition = 0 meV per atom
formation energy = -1.11 eV per formula unit
space group = P4_2/mnm, No. 136

Cell lengths 8.341, 8.341, 4.312 Å; angles 90.00, 90.00, 90.00 degrees
Atoms (fractional coordinates):
Zn: 0.188 0.188 0.000
Zn: 0.312 0.688 0.500
Zn: 0.688 0.312 0.500
Zn: 0.812 0.812 0.000
Cu: 0.000 0.000 0.500
Cu: 0.500 0.500 0.000
Au: 0.015 0.323 0.500
Au: 0.137 0.863 0.000
Au: 0.177 0.515 0.000
Au: 0.323 0.015 0.500
Au: 0.363 0.363 0.500
Au: 0.485 0.823 0.000
Au: 0.515 0.177 0.000
Au: 0.637 0.637 0.500
Au: 0.677 0.985 0.500
Au: 0.823 0.485 0.000
Au: 0.863 0.137 0.000
Au: 0.985 0.677 0.500

***

No. 3
DFT (GGA-PBE) results for a geometry-optimized Zn5Cu2Au2 structure.

density = 9.8 g cm⁻³
energy relative to the lowest polymorph listed for this composition = 51 meV per atom
formation energy = -0.24 eV per formula unit
space group = Cmce, No. 64

Cell lengths 7.354, 7.354, 6.761 Å; angles 90.00, 90.00, 51.68 degrees
Atoms (fractional coordinates):
Zn: 0.000 0.000 0.000
Zn: 0.026 0.715 0.662
Zn: 0.215 0.526 0.162
Zn: 0.285 0.974 0.662
Zn: 0.474 0.785 0.162
Zn: 0.500 0.500 0.500
Zn: 0.526 0.215 0.838
Zn: 0.715 0.026 0.338
Zn: 0.785 0.474 0.838
Zn: 0.974 0.285 0.338
Cu: 0.133 0.867 0.363
Cu: 0.367 0.633 0.863
Cu: 0.633 0.367 0.137
Cu: 0.867 0.133 0.637
Au: 0.205 0.205 0.000
Au: 0.295 0.295 0.500
Au: 0.705 0.705 0.500
Au: 0.795 0.795 0.000

***

No. 4
DFT (GGA-PBE) results for a geometry-optimized Zn2Cu2Au7 structure.

density = 14.5 g cm⁻³
energy relative to the lowest polymorph listed for this composition = 47 meV per atom
formation energy = -0.35 eV per formula unit
space group = C2/m, No. 12

Cell lengths 5.394, 5.394, 7.078 Å; angles 94.13, 94.13, 113.17 degrees
Atoms (fractional coordinates):
Zn: 0.250 0.750 0.000
Zn: 0.750 0.250 0.000
Cu: 0.079 0.079 0.334
Cu: 0.921 0.921 0.666
Au: 0.030 0.569 0.316
Au: 0.250 0.250 0.985
Au: 0.431 0.970 0.684
Au: 0.500 0.500 0.500
Au: 0.569 0.030 0.316
Au: 0.750 0.750 0.015
Au: 0.970 0.431 0.684

***

No. 5
DFT (GGA-PBE) results for a geometry-optimized ZnCu3Au2 structure.

density = 12.2 g cm⁻³
energy relative to the lowest polymorph listed for this composition = 16 meV per atom
formation energy = -0.09 eV per formula unit
space group = C2/m, No. 12

Cell lengths 4.873, 4.873, 8.781 Å; angles 95.68, 95.68, 120.36 degrees
Atoms (fractional coordinates):
Zn: 0.167 0.833 0.000
Zn: 0.833 0.167 0.000
Cu: 0.071 0.419 0.758
Cu: 0.233 0.233 0.242
Cu: 0.419 0.071 0.758
Cu: 0.581 0.929 0.242
Cu: 0.767 0.767 0.758
Cu: 0.929 0.581 0.242
Au: 0.000 0.000 0.500
Au: 0.334 0.666 0.500
Au: 0.500 0.500 0.000
Au: 0.666 0.334 0.500

***

No. 6
DFT (GGA-PBE) results for a geometry-optimized ZnCu5Au6 structure.

density = 14.2 g cm⁻³
formation energy = -0.94 eV per formula unit
space group = P2/m, No. 10

Cell lengths 4.598, 5.890, 6.860 Å; angles 90.00, 99.40, 90.00 degrees
Atoms (fractional coordinates):
Zn: 0.000 0.000 0.000
Cu: 0.000 0.500 0.000
Cu: 0.339 0.000 0.664
Cu: 0.339 0.500 0.666
Cu: 0.661 0.000 0.336
Cu: 0.661 0.500 0.334
Au: 0.162 0.251 0.334
Au: 0.162 0.749 0.334
Au: 0.500 0.251 0.000
Au: 0.500 0.749 0.000
Au: 0.838 0.251 0.666
Au: 0.838 0.749 0.666

***

No. 7
DFT (GGA-PBE) results for a geometry-optimized Zn3CuAu3 structure.

density = 11.7 g cm⁻³
energy relative to the lowest polymorph listed for this composition = 35 meV per atom
formation energy = -0.52 eV per formula unit
space group = C2/m, No. 12

Cell lengths 6.230, 6.230, 7.634 Å; angles 93.30, 93.30, 124.95 degrees
Atoms (fractional coordinates):
Zn: 0.021 0.615 0.781
Zn: 0.214 0.214 0.518
Zn: 0.385 0.979 0.219
Zn: 0.615 0.021 0.781
Zn: 0.786 0.786 0.482
Zn: 0.979 0.385 0.219
Cu: 0.421 0.421 0.260
Cu: 0.579 0.579 0.740
Au: 0.076 0.076 0.828
Au: 0.306 0.694 0.500
Au: 0.362 0.638 0.000
Au: 0.638 0.362 0.000
Au: 0.694 0.306 0.500
Au: 0.924 0.924 0.172

***

No. 8
DFT (GGA-PBE) results for a geometry-optimized ZnCu4Au5 structure.

density = 14.2 g cm⁻³
formation energy = -0.77 eV per formula unit
space group = P4/mmm, No. 123

Cell lengths 3.069, 3.069, 16.236 Å; angles 90.00, 90.00, 90.00 degrees
Atoms (fractional coordinates):
Zn: 0.000 0.000 0.000
Cu: 0.000 0.000 0.204
Cu: 0.000 0.000 0.401
Cu: 0.000 0.000 0.599
Cu: 0.000 0.000 0.796
Au: 0.500 0.500 0.104
Au: 0.500 0.500 0.303
Au: 0.500 0.500 0.500
Au: 0.500 0.500 0.697
Au: 0.500 0.500 0.896

***

No. 9
DFT (GGA-PBE) results for a geometry-optimized ZnCu5Au6 structure.

density = 14.2 g cm⁻³
formation energy = -0.93 eV per formula unit
space group = C2/m, No. 12

Cell lengths 7.441, 7.441, 4.162 Å; angles 106.19, 106.19, 112.93 degrees
Atoms (fractional coordinates):
Zn: 0.000 0.000 0.000
Cu: 0.167 0.833 0.500
Cu: 0.333 0.667 0.000
Cu: 0.500 0.500 0.500
Cu: 0.667 0.333 0.000
Cu: 0.833 0.167 0.500
Au: 0.084 0.419 0.251
Au: 0.253 0.253 0.753
Au: 0.419 0.084 0.251
Au: 0.581 0.916 0.749
Au: 0.747 0.747 0.247
Au: 0.916 0.581 0.749

***

Question: Which value of formation energy does entry 1 give?
Answer: 0.20 eV per formula unit

***

Question: Number 9 is which compound?
Answer: ZnCu5Au6

***

Question: Which formula does entry 2 have?
Answer: Zn2CuAu6

***

Question: Look up the formation energy of the sixth one.
Answer: -0.94 eV per formula unit